The following is a PBE calculation of a relaxed structure of PuHCl14, from the Alexandria database.

Computed properties:
* electronic total energy: -3.0578 eV per atom
* magnetic moment: 0.92 μB per cell
* space group: Amm2

Lattice parameters (Å, degrees): 8.4824 8.4824 9.5944 90.00 90.00 109.17
Sites, in units of the cell vectors:
Cl  0.2051  0.2296  0.5000
Cl  0.3195  0.0175  0.1769
Cl  0.9825  0.6805  0.8231
Cl  0.9571  0.0429  0.5000
Cl  0.5063  0.4937  0.3322
Cl  0.2165  0.4764  0.0000
Cl  0.7408  0.2592  0.6709
Cl  0.7408  0.2592  0.3291
Cl  0.3195  0.0175  0.8231
Cl  0.9825  0.6805  0.1769
Cl  0.5063  0.4937  0.6678
Cl  0.7704  0.7949  0.5000
Cl  0.5236  0.7835  0.0000
Cl  0.6316  0.3684  0.5000
Pu  0.2016  0.7984  0.0000
H  0.3960  0.6040  0.0000

---

The following is a PBE calculation of a relaxed structure of CaRu2, from the Alexandria database.

Computed properties:
* calculated formation energy: 0.256 eV per atom
* electronic total energy: -6.5953 eV per atom
* magnetic moment: 0.00 μB per cell
* space group: C2/m

Lattice parameters (Å, degrees): 5.7835 5.7835 6.9037 75.36 75.36 29.39
Sites, in units of the cell vectors:
Ca  0.0036  0.0036  0.2264
Ca  0.9964  0.9964  0.7736
Ru  0.7251  0.7251  0.8624
Ru  0.6727  0.6727  0.4467
Ru  0.3273  0.3273  0.5533
Ru  0.2749  0.2749  0.1376

---

The following is a PBE calculation of a relaxed structure of Tb4Sm5Dy3, from the Alexandria database.

Computed properties:
* calculated formation energy: 0.225 eV per atom
* electronic total energy: -4.4350 eV per atom
* energy above the lowest structure with this stoichiometry: 244.7 kJ/mol of formula units
* magnetic moment: 0.00 μB per cell
* space group: C2/m

Lattice parameters (Å, degrees): 5.9202 8.6298 9.6875 106.17 72.21 69.94
Sites, in units of the cell vectors:
Sm  0.2133  0.4602  0.1132
Sm  0.3744  0.0501  0.2010
Sm  0.6256  0.9499  0.7990
Sm  0.5000  0.5000  0.5000
Sm  0.7867  0.5398  0.8868
Tb  0.8590  0.2221  0.0598
Tb  0.1410  0.7779  0.9402
Tb  0.8364  0.9486  0.3786
Tb  0.1636  0.0514  0.6214
Dy  0.4798  0.3119  0.7286
Dy  0.0000  0.5000  0.5000
Dy  0.5202  0.6881  0.2714

---

The following is a PBE calculation of a relaxed structure of MgTaBeOs, from the Alexandria database.

Computed properties:
* calculated formation energy: -0.028 eV per atom
* electronic total energy: -7.1286 eV per atom
* magnetic moment: 0.00 μB per cell
* space group: F-43m

Lattice parameters (Å, degrees): 4.3781 4.3781 4.3781 60.00 60.00 60.00
Sites, in units of the cell vectors:
Mg  0.2500  0.2500  0.2500
Ta  0.7500  0.7500  0.7500
Be  0.0000  0.0000  0.0000
Os  0.5000  0.5000  0.5000

---

The following is a PBE calculation of a relaxed structure of LaMgVOs2, from the Alexandria database.

Computed properties:
* calculated formation energy: 0.572 eV per atom
* electronic total energy: -7.0478 eV per atom
* magnetic moment: 0.00 μB per cell
* space group: P4/mmm

Lattice parameters (Å, degrees): 4.6147 4.8615 4.6147 90.00 90.00 90.00
Sites, in units of the cell vectors:
Mg  0.0000  0.5000  0.0000
Os  0.5000  0.0000  0.0000
Os  0.0000  0.0000  0.5000
V  0.0000  0.0000  0.0000
La  0.5000  0.5000  0.5000

---

The following is a PBE calculation of a relaxed structure of Ba3SrTl2Cu2HgO10, from the Alexandria database.

Computed properties:
* electronic total energy: -5.1960 eV per atom
* magnetic moment: 0.00 μB per cell
* space group: I4mm

Lattice parameters (Å, degrees): 21.7127 21.7127 21.7127 169.72 169.72 14.56
Sites, in units of the cell vectors:
O  0.2747  0.2747  0.0000
O  0.1789  0.1789  0.0000
O  0.9518  0.9518  0.0000
O  0.6132  0.1132  0.5000
O  0.7305  0.7305  0.0000
O  0.1132  0.6132  0.5000
O  0.3834  0.8834  0.5000
O  0.8834  0.3834  0.5000
O  0.0452  0.0452  0.0000
O  0.8266  0.8266  0.0000
Ba  0.5685  0.5685  0.0000
Ba  0.6590  0.6590  0.0000
Ba  0.4287  0.4287  0.0000
Tl  0.7791  0.7791  0.0000
Tl  0.2262  0.2262  0.0000
Cu  0.1139  0.1139  0.0000
Cu  0.8816  0.8816  0.0000
Sr  0.3434  0.3434  0.0000
Hg  0.9986  0.9986  0.0000

---

The following is a PBE calculation of a relaxed structure of Ce2PrSb, from the Alexandria database.

Computed properties:
* electronic total energy: -5.7947 eV per atom
* energy above the lowest structure with this stoichiometry: 0.0 kJ/mol of formula units
* magnetic moment: 0.00 μB per cell
* space group: P2_1/m

Lattice parameters (Å, degrees): 4.5196 4.4185 11.7901 90.00 100.44 90.00
Sites, in units of the cell vectors:
Pr  0.3020  0.2500  0.6106
Pr  0.6980  0.7500  0.3894
Sb  0.8258  0.7500  0.6724
Sb  0.1742  0.2500  0.3276
Ce  0.3992  0.7500  0.8879
Ce  0.9986  0.7500  0.1158
Ce  0.0014  0.2500  0.8842
Ce  0.6008  0.2500  0.1121

---

The following is a PBE calculation of a relaxed structure of Be3FeI, from the Alexandria database.

Computed properties:
* electronic total energy: -3.1738 eV per atom
* magnetic moment: 1.35 μB per cell
* space group: Pm-3m

Lattice parameters (Å, degrees): 4.2546 4.2546 4.2546 90.00 90.00 90.00
Sites, in units of the cell vectors:
Be  0.0000  0.5000  0.0000
Be  0.0000  0.0000  0.5000
Be  0.5000  0.0000  0.0000
Fe  0.0000  0.0000  0.0000
I  0.5000  0.5000  0.5000